# TaBeCoSe2, single point on PBEsol structure, DFT SCAN
data_TaBeCoSe2
_symmetry_space_group_name_H-M 'P 4/m m m'
_symmetry_Int_Tables_number 123
_symmetry_space_group_name_Hall '-P 4 2'
_cell_length_a 4.4171
_cell_length_b 4.4171
_cell_length_c 4.6504
_cell_angle_alpha 90.00
_cell_angle_beta 90.00
_cell_angle_gamma 90.00
loop_
_atom_site_label
_atom_site_fract_x
_atom_site_fract_y
_atom_site_fract_z
_atom_site_occupancy
Ta1 0.0000 0.0000 0.0000 1
Be1 0.5000 0.5000 0.0000 1
Co1 0.0000 0.0000 0.5000 1
Se1 0.0000 0.5000 0.5000 1
# DOS(E_F) (states/eV/atom): 0.75
# E_form (uncorrected) (eV/atom): 1.03
# Calculated density (g/cm3): 7.45



# Sr5Sb3, single point on PBEsol structure, DFT SCAN
data_Sr5Sb3
_symmetry_space_group_name_H-M 'P 63/m c m'
_symmetry_Int_Tables_number 193
_symmetry_space_group_name_Hall '-P 6c 2'
_cell_length_a 9.4706
_cell_length_b 9.4706
_cell_length_c 7.2827
_cell_angle_alpha 90.00
_cell_angle_beta 90.00
_cell_angle_gamma 120.00
loop_
_atom_site_label
_atom_site_fract_x
_atom_site_fract_y
_atom_site_fract_z
_atom_site_occupancy
Sr1 0.0000 0.2536 0.2500 1
Sr2 0.3333 0.6667 0.0000 1
Sb1 0.0000 0.3903 0.7500 1
# DOS(E_F) (states/eV/atom): 0.05
# E_form (uncorrected) (eV/atom): -1.12
# Energy relative to the lowest polymorph listed for this composition (kcal/mol of atoms): 0.000
# Calculated density (g/cm3): 4.72



# GaTe3Br, single point on PBEsol structure, DFT SCAN
data_GaTe3Br
_symmetry_space_group_name_H-M 'P m -3 m'
_symmetry_Int_Tables_number 221
_symmetry_space_group_name_Hall '-P 4 2 3'
_cell_length_a 5.5175
_cell_length_b 5.5175
_cell_length_c 5.5175
_cell_angle_alpha 90.00
_cell_angle_beta 90.00
_cell_angle_gamma 90.00
loop_
_atom_site_label
_atom_site_fract_x
_atom_site_fract_y
_atom_site_fract_z
_atom_site_occupancy
Ga1 0.0000 0.0000 0.0000 1
Te1 0.0000 0.5000 0.5000 1
Br1 0.5000 0.5000 0.5000 1
# DOS(E_F) (states/eV/atom): 0.65
# E_form (uncorrected) (eV/atom): 0.72
# Calculated density (g/cm3): 5.26



# ZrMnI2N, single point on PBEsol structure, DFT SCAN
data_ZrMnI2N
_symmetry_space_group_name_H-M 'P 4/m m m'
_symmetry_Int_Tables_number 123
_symmetry_space_group_name_Hall '-P 4 2'
_cell_length_a 5.8434
_cell_length_b 5.8434
_cell_length_c 3.9671
_cell_angle_alpha 90.00
_cell_angle_beta 90.00
_cell_angle_gamma 90.00
loop_
_atom_site_label
_atom_site_fract_x
_atom_site_fract_y
_atom_site_fract_z
_atom_site_occupancy
Zr1 0.0000 0.0000 0.0000 1
Mn1 0.5000 0.5000 0.5000 1
I1 0.0000 0.5000 0.0000 1
N1 0.0000 0.0000 0.5000 1
# DOS(E_F) (states/eV/atom): 0.20
# E_form (uncorrected) (eV/atom): -0.18
# Calculated density (g/cm3): 5.07